Here is a relaxed PmPrSmDy crystal from Alexandria via LeMat-Bulk. Energies are from PBE-GGA.

- Fermi-level density of states (states/eV per cell) = 11.78
- formation energy (kJ/mol of atoms) = 1.6
- total energy (eV/atom) = -4.70
- energy above the lowest structure with this stoichiometry (meV per atom) = 0

abc: 5.1442 5.1442 10.2745
angles: 90.00 90.00 90.00
With the nearest neighbours (Å) after each atom.
Atoms (fractional coordinates):
Pm: 0.0000 0.0000 0.0000  4 Dy 3.64, 4 Pr 3.64, 4 Sm 3.64
Pm: 0.5000 0.5000 0.5000  4 Dy 3.64, 4 Pr 3.64, 4 Sm 3.64
Pr: 0.0000 0.5000 0.2500  4 Pm 3.64, 4 Sm 3.64, 4 Dy 3.64
Pr: 0.5000 0.0000 0.7500  4 Pm 3.64, 4 Sm 3.64, 4 Dy 3.64
Sm: 0.0000 0.0000 0.5000  4 Dy 3.64, 4 Pr 3.64, 4 Pm 3.64
Sm: 0.5000 0.5000 0.0000  4 Dy 3.64, 4 Pr 3.64, 4 Pm 3.64
Dy: 0.0000 0.5000 0.7500  4 Pm 3.64, 4 Sm 3.64, 4 Pr 3.64
Dy: 0.5000 0.0000 0.2500  4 Pm 3.64, 4 Sm 3.64, 4 Pr 3.64